Entry 1:
DFT (PBE) results for crystalline TlInAs2Se at its relaxed geometry.

Computed properties:
Space-group type: P4/mmm (123)
Excess energy over the best structure of this formula in the dataset: 0.000 eV/atom
Formation energy (no corrections): 0.482 eV per atom
Calculated density: 5.8 g/cm3
Density of states at the Fermi level: 0.84 states/eV/atom
Total moment: 0.232 μB per atom

Unit cell a=5.344 b=5.344 c=5.504 alpha=90.00 beta=90.00 gamma=90.00
Atoms (fractional coordinates):
1 Tl 0.500 0.500 0.500
2 As 0.000 0.500 0.000
3 As 0.500 0.000 0.000
4 Se 0.000 0.000 0.500
5 In 0.000 0.000 0.000

Entry 2:
DFT (PBE) results for crystalline K4Pu3FeSe8 at its relaxed geometry.

Computed properties:
Space-group type: R-3m (166)
Formation energy (no corrections): -1.197 eV per atom
Calculated density: 5.6 g/cm3
Density of states at the Fermi level: 2.23 states/eV/atom
Total moment: 1.144 μB per atom

Unit cell a=8.398 b=9.023 c=8.398 alpha=117.74 beta=120.00 gamma=90.00
Atoms (fractional coordinates):
1 K 0.500 0.000 0.000
2 K 0.500 0.000 0.500
3 K 0.000 0.000 0.000
4 K 0.000 0.000 0.500
5 Pu 0.500 0.500 0.000
6 Pu 0.500 0.500 0.500
7 Pu 0.000 0.500 0.500
8 Fe 0.000 0.500 0.000
9 Se 0.224 0.696 0.971
10 Se 0.224 0.696 0.449
11 Se 0.265 0.294 0.529
12 Se 0.747 0.696 0.971
13 Se 0.253 0.304 0.029
14 Se 0.735 0.706 0.471
15 Se 0.776 0.304 0.551
16 Se 0.776 0.304 0.029

Entry 3:
DFT (PBE) results for crystalline Hg4Sb2Pb5 at its relaxed geometry.

Computed properties:
Space-group type: C2/m (12)
Formation energy (no corrections): 0.074 eV per atom
Calculated density: 9.9 g/cm3
Density of states at the Fermi level: 0.31 states/eV/atom
Total moment: 0.000 μB per atom

Unit cell a=9.659 b=9.659 c=8.762 alpha=83.98 beta=83.98 gamma=25.49
Atoms (fractional coordinates):
1 Hg 0.241 0.241 0.812
2 Hg 0.937 0.937 0.261
3 Hg 0.759 0.759 0.188
4 Hg 0.063 0.063 0.739
5 Sb 0.436 0.436 0.631
6 Sb 0.564 0.564 0.369
7 Pb 0.824 0.824 0.538
8 Pb 0.176 0.176 0.462
9 Pb 0.871 0.871 0.895
10 Pb 0.500 0.500 0.000
11 Pb 0.129 0.129 0.105

Entry 4:
DFT (PBE) results for crystalline PmMg2In at its relaxed geometry.

Computed properties:
Space-group type: Fm-3m (225)
E_form: -0.17 eV/atom
Excess energy over the best structure of this formula in the dataset: 0.119 eV/atom
Calculated density: 5.2 g/cm3
Density of states at the Fermi level: 0.29 states/eV/atom
Total moment: 0.000 μB per atom

Unit cell a=5.175 b=5.175 c=5.175 alpha=60.00 beta=60.00 gamma=60.00
Atoms (fractional coordinates):
1 Mg 0.250 0.250 0.250
2 Mg 0.750 0.750 0.750
3 In 0.000 0.000 0.000
4 Pm 0.500 0.500 0.500

Entry 5:
DFT (PBE) results for crystalline Sr2AcMg9 at its relaxed geometry.

Computed properties:
Space-group type: R-3m (166)
E_form: -0.08 eV/atom
Calculated density: 2.9 g/cm3
Density of states at the Fermi level: 0.90 states/eV/atom
Total moment: 0.000 μB per atom

Unit cell a=6.330 b=6.330 c=10.795 alpha=72.95 beta=72.95 gamma=60.00
Atoms (fractional coordinates):
1 Sr 0.858 0.858 0.427
2 Sr 0.142 0.142 0.573
3 Ac 0.000 0.000 0.000
4 Mg 0.666 0.666 0.001
5 Mg 0.334 0.334 0.999
6 Mg 0.500 0.500 0.500
7 Mg 0.418 0.418 0.244
8 Mg 0.920 0.418 0.244
9 Mg 0.418 0.920 0.244
10 Mg 0.582 0.582 0.756
11 Mg 0.582 0.080 0.756
12 Mg 0.080 0.582 0.756

Entry 6:
DFT (PBE) results for crystalline BeTePt at its relaxed geometry.

Computed properties:
Space-group type: Cmcm (63)
Formation energy (no corrections): -0.115 eV per atom
Calculated density: 10.5 g/cm3
Density of states at the Fermi level: 0.46 states/eV/atom
Total moment: 0.000 μB per atom

Unit cell a=6.887 b=7.731 c=3.937 alpha=90.00 beta=90.00 gamma=90.00
Atoms (fractional coordinates):
1 Be 0.665 0.250 0.000
2 Be 0.835 0.750 0.500
3 Be 0.335 0.750 0.000
4 Be 0.165 0.250 0.500
5 Te 0.000 0.000 0.000
6 Te 0.500 0.500 0.500
7 Te 0.500 0.000 0.500
8 Te 0.000 0.500 0.000
9 Pt 0.333 0.250 0.000
10 Pt 0.167 0.750 0.500
11 Pt 0.667 0.750 0.000
12 Pt 0.833 0.250 0.500

Entry 7:
DFT (PBE) results for crystalline LaScOs2 at its relaxed geometry.

Computed properties:
Space-group type: Pmm2 (25)
E_form: 0.16 eV/atom
Excess energy over the best structure of this formula in the dataset: 0.117 eV/atom
Calculated density: 10.8 g/cm3
Density of states at the Fermi level: 1.08 states/eV/atom
Total moment: 0.000 μB per atom

Unit cell a=2.936 b=3.766 c=7.864 alpha=90.00 beta=90.00 gamma=90.00
Atoms (fractional coordinates):
1 La 0.500 0.500 0.794
2 Os 0.000 0.000 0.077
3 Os 0.500 0.500 0.209
4 Sc 0.000 0.000 0.420

Entry 8:
DFT (PBE) results for crystalline TeMoCl2 at its relaxed geometry.

Computed properties:
Space-group type: Pmmm (47)
Excess energy over the best structure of this formula in the dataset: 0.852 eV/atom
Formation energy (no corrections): 0.425 eV per atom
Calculated density: 5.7 g/cm3
Density of states at the Fermi level: 0.38 states/eV/atom
Total moment: 0.827 μB per atom

Unit cell a=3.225 b=5.618 c=4.705 alpha=90.00 beta=90.00 gamma=90.00
Atoms (fractional coordinates):
1 Mo 0.500 0.000 0.500
2 Te 0.000 0.500 0.500
3 Cl 0.000 0.000 0.000
4 Cl 0.500 0.500 0.000

Entry 9:
DFT (PBE) results for crystalline FeTc2Au at its relaxed geometry.

Computed properties:
Space-group type: I-42d (122)
E_form: 0.62 eV/atom
Excess energy over the best structure of this formula in the dataset: 0.427 eV/atom
Calculated density: 11.9 g/cm3
Density of states at the Fermi level: 1.10 states/eV/atom
Total moment: 0.000 μB per atom

Unit cell a=6.997 b=6.997 c=5.568 alpha=51.07 beta=51.07 gamma=90.00
Atoms (fractional coordinates):
1 Au 0.000 0.000 0.000
2 Au 0.750 0.250 0.500
3 Tc 0.564 0.125 0.250
4 Tc 0.186 0.625 0.250
5 Tc 0.375 0.436 0.750
6 Tc 0.875 0.814 0.750
7 Fe 0.500 0.500 0.000
8 Fe 0.250 0.750 0.500

Entry 10:
DFT (PBE) results for crystalline B5C7 at its relaxed geometry.

Computed properties:
Space-group type: Pmm2 (25)
E_form: 0.35 eV/atom
Excess energy over the best structure of this formula in the dataset: 0.095 eV/atom
Calculated density: 2.9 g/cm3
Density of states at the Fermi level: 0.21 states/eV/atom
Total moment: 0.000 μB per atom

Unit cell a=2.524 b=4.111 c=7.573 alpha=90.00 beta=90.00 gamma=90.00
Atoms (fractional coordinates):
1 B 0.500 0.475 0.166
2 B 0.500 0.786 0.000
3 B 0.500 0.536 0.500
4 B 0.000 0.204 0.500
5 B 0.500 0.475 0.834
6 C 0.000 0.228 0.166
7 C 0.000 0.035 0.000
8 C 0.000 0.989 0.324
9 C 0.500 0.778 0.321
10 C 0.000 0.228 0.834
11 C 0.000 0.989 0.676
12 C 0.500 0.778 0.679

Entry 11:
DFT (PBE) results for crystalline Nd2TeP at its relaxed geometry.

Computed properties:
Space-group type: R3m (160)
Excess energy over the best structure of this formula in the dataset: 0.035 eV/atom
Formation energy (no corrections): -1.540 eV per atom
Calculated density: 6.4 g/cm3
Density of states at the Fermi level: 0.70 states/eV/atom
Total moment: 0.000 μB per atom

Unit cell a=4.217 b=4.217 c=7.899 alpha=74.52 beta=74.52 gamma=60.00
Atoms (fractional coordinates):
1 Nd 0.070 0.070 0.789
2 Nd 0.263 0.263 0.212
3 Te 0.499 0.499 0.502
4 P 0.668 0.668 0.996

Entry 12:
DFT (PBE) results for crystalline Ho2Be3Cu12Ni at its relaxed geometry.

Computed properties:
Space-group type: R-3m (166)
E_form: 0.35 eV/atom
Calculated density: 7.1 g/cm3
Density of states at the Fermi level: 0.45 states/eV/atom
Total moment: 0.000 μB per atom

Unit cell a=7.038 b=7.038 c=7.038 alpha=65.65 beta=65.65 gamma=65.65
Atoms (fractional coordinates):
1 Ho 0.606 0.606 0.606
2 Ho 0.394 0.394 0.394
3 Be 0.500 0.000 0.000
4 Be 0.000 0.500 0.000
5 Be 0.000 0.000 0.500
6 Cu 0.337 0.337 0.896
7 Cu 0.874 0.874 0.377
8 Cu 0.377 0.874 0.874
9 Cu 0.896 0.337 0.337
10 Cu 0.874 0.377 0.874
11 Cu 0.337 0.896 0.337
12 Cu 0.663 0.663 0.104
13 Cu 0.126 0.126 0.623
14 Cu 0.623 0.126 0.126
15 Cu 0.104 0.663 0.663
16 Cu 0.126 0.623 0.126
17 Cu 0.663 0.104 0.663
18 Ni 0.000 0.000 0.000